Run w
# TbCe2In4

TbCe2In4 after structural relaxation (PBE, the Alexandria database).

Unit cell a=5.1638 b=5.1638 c=15.5790 alpha=90.00 beta=90.00 gamma=90.00
Space group I4/mmm (No. 139)
Symmetry-distinct sites (fractional):
1 Tb 0.0000 0.0000 0.0000 (multiplicity 2)
2 Ce 0.0000 0.0000 0.2509 (multiplicity 4)
3 In 0.0000 0.5000 0.1103 (multiplicity 8)

Calculated values
size of the total moment = 5.6 μB/cell
crystal system = tetragonal

***

Run x
# TbCe2In4

TbCe2In4 after structural relaxation (PBE, the Alexandria database).

Unit cell a=6.2135 b=11.5905 c=6.2527 alpha=90.00 beta=90.00 gamma=90.00
Space group Cmmm (No. 65)
Symmetry-distinct sites (fractional):
1 Tb 0.0000 0.0000 0.0000 (multiplicity 2)
2 Ce 0.0000 0.3809 0.5000 (multiplicity 4)
3 In 0.0000 0.1180 0.5000 (multiplicity 4)
4 In 0.0000 0.3651 0.0000 (multiplicity 4)

Calculated values
size of the total moment = 4.7 μB/cell
crystal system = orthorhombic

***

The least stable of them is run x.

***

Run w
# TbCeIn4

TbCeIn4 after structural relaxation (PBE, the Alexandria database).

Unit cell a=8.5618 b=8.5618 c=8.5618 alpha=90.00 beta=90.00 gamma=90.00
Space group F-43m (No. 216)
Symmetry-distinct sites (fractional):
1 Tb 0.0000 0.0000 0.0000 (multiplicity 4)
2 Ce 0.2500 0.2500 0.2500 (multiplicity 4)
3 In 0.1249 0.1249 0.6249 (multiplicity 16)

Calculated values
size of the total moment = 4.8 μB/cell
crystal system = cubic

***

Run x
# TbCeIn4

TbCeIn4 after structural relaxation (PBE, the Alexandria database).

Unit cell a=3.5721 b=5.0280 c=8.7378 alpha=90.00 beta=90.00 gamma=90.00
Space group P2/m (No. 10)
Symmetry-distinct sites (fractional):
1 Tb 0.0000 0.0000 0.0000 (multiplicity 1)
2 Ce 0.0000 0.5000 0.5000 (multiplicity 1)
3 In 0.4959 0.5000 0.1648 (multiplicity 2)
4 In 0.4967 0.0000 0.6688 (multiplicity 2)

Calculated values
size of the total moment = 0.8 μB/cell
crystal system = monoclinic

***

The least stable of them is run w.

***

Run w
# TbCeIn

TbCeIn after structural relaxation (PBE, the Alexandria database).

Unit cell a=5.3126 b=5.3126 c=6.8875 alpha=90.00 beta=90.00 gamma=120.00
Space group P-3m1 (No. 164)
Symmetry-distinct sites (fractional):
1 Tb 0.0000 0.0000 0.2496 (multiplicity 2)
2 Ce 0.3333 0.6667 0.0537 (multiplicity 2)
3 In 0.3333 0.6667 0.5802 (multiplicity 2)

Calculated values
size of the total moment = 1.5 μB/cell
crystal system = trigonal

***

Run x
# TbCeIn

TbCeIn after structural relaxation (PBE, the Alexandria database).

Unit cell a=8.9474 b=5.1715 c=8.0533 alpha=90.00 beta=111.80 gamma=90.00
Space group Cm (No. 8)
Symmetry-distinct sites (fractional):
1 Tb 0.0000 0.0000 0.0000 (multiplicity 2)
2 Tb 0.0551 0.5000 0.6639 (multiplicity 2)
3 Ce 0.2552 0.5000 0.2654 (multiplicity 2)
4 Ce 0.4257 0.0000 0.2766 (multiplicity 2)
5 In 0.1526 0.0000 0.4573 (multiplicity 2)
6 In 0.2856 0.0000 0.8564 (multiplicity 2)

Calculated values
size of the total moment = 2.9 μB/cell
crystal system = monoclinic

***

Run y
# TbCeIn

TbCeIn after structural relaxation (PBE, the Alexandria database).

Unit cell a=3.4720 b=3.4720 c=14.4516 alpha=90.00 beta=90.00 gamma=90.00
Space group I4mm (No. 107)
Symmetry-distinct sites (fractional):
1 Tb 0.0000 0.0000 0.0000 (multiplicity 2)
2 Ce 0.0000 0.0000 0.6890 (multiplicity 2)
3 In 0.0000 0.0000 0.3481 (multiplicity 2)

Calculated values
size of the total moment = 2.2 μB/cell
crystal system = tetragonal

***

Run z
# TbCeIn

TbCeIn after structural relaxation (PBE, the Alexandria database).

Unit cell a=5.3704 b=5.3704 c=3.2087 alpha=90.00 beta=90.00 gamma=120.00
Space group P3m1 (No. 156)
Symmetry-distinct sites (fractional):
1 Tb 0.0000 0.0000 0.0000 (multiplicity 1)
2 Ce 0.3333 0.6667 0.0040 (multiplicity 1)
3 In 0.6667 0.3333 0.5032 (multiplicity 1)

Calculated values
size of the total moment = 1.3 μB/cell
crystal system = trigonal

***

The least stable of them is run w.

***

Run w
# Tb2CeIn

Tb2CeIn after structural relaxation (PBE, the Alexandria database).

Unit cell a=3.5582 b=3.5582 c=9.0638 alpha=90.00 beta=90.00 gamma=90.00
Space group P4/mmm (No. 123)
Symmetry-distinct sites (fractional):
1 Tb 0.0000 0.0000 0.2337 (multiplicity 2)
2 Ce 0.5000 0.5000 0.5000 (multiplicity 1)
3 In 0.5000 0.5000 0.0000 (multiplicity 1)

Calculated values
size of the total moment = 0.4 μB/cell
crystal system = tetragonal

***

Run x
# Tb2CeIn

Tb2CeIn after structural relaxation (PBE, the Alexandria database).

Unit cell a=4.9153 b=4.9153 c=4.6940 alpha=90.00 beta=90.00 gamma=90.00
Space group P4/mmm (No. 123)
Symmetry-distinct sites (fractional):
1 Tb 0.0000 0.5000 0.0000 (multiplicity 2)
2 Ce 0.0000 0.0000 0.5000 (multiplicity 1)
3 In 0.5000 0.5000 0.5000 (multiplicity 1)

Calculated values
size of the total moment = 0.7 μB/cell
crystal system = tetragonal

***

The least stable of them is run w.

***

Run w
# Tb2CeIn

Tb2CeIn after structural relaxation (PBE, the Alexandria database).

Unit cell a=4.7479 b=4.8329 c=11.2766 alpha=90.00 beta=101.99 gamma=90.00
Space group P2_1/m (No. 11)
Symmetry-distinct sites (fractional):
1 Tb 0.0577 0.2500 0.1165 (multiplicity 2)
2 Tb 0.4371 0.2500 0.8726 (multiplicity 2)
3 Ce 0.1912 0.7500 0.3866 (multiplicity 2)
4 In 0.3405 0.7500 0.6765 (multiplicity 2)

Calculated values
size of the total moment = 2.2 μB/cell
crystal system = monoclinic

***

Run x
# Tb2CeIn

Tb2CeIn after structural relaxation (PBE, the Alexandria database).

Unit cell a=7.6502 b=7.6502 c=7.6502 alpha=90.00 beta=90.00 gamma=90.00
Space group Fm-3m (No. 225)
Symmetry-distinct sites (fractional):
1 Tb 0.2500 0.2500 0.2500 (multiplicity 8)
2 Ce 0.0000 0.0000 0.0000 (multiplicity 4)
3 In 0.0000 0.0000 0.5000 (multiplicity 4)

Calculated values
size of the total moment = 0.1 μB/cell
crystal system = cubic

***

The least stable of them is run x.

***

Run w
# Tb3CeIn

Tb3CeIn after structural relaxation (PBE, the Alexandria database).

Unit cell a=3.5505 b=7.7290 c=11.3178 alpha=100.34 beta=90.00 gamma=103.26
Space group P-1 (No. 2)
Symmetry-distinct sites (fractional):
1 Tb 0.0486 0.0965 0.1478 (multiplicity 2)
2 Tb 0.2550 0.5086 0.7355 (multiplicity 2)
3 Tb 0.4472 0.8944 0.3566 (multiplicity 2)
4 Ce 0.3420 0.6864 0.0528 (multiplicity 2)
5 In 0.1427 0.2862 0.4476 (multiplicity 2)

Calculated values
size of the total moment = 1.8 μB/cell
crystal system = triclinic

***

Run x
# Tb3CeIn

Tb3CeIn after structural relaxation (PBE, the Alexandria database).

Unit cell a=4.8870 b=24.7237 c=4.8807 alpha=90.00 beta=90.00 gamma=90.00
Space group Cmcm (No. 63)
Symmetry-distinct sites (fractional):
1 Tb 0.0000 0.0496 0.2500 (multiplicity 4)
2 Tb 0.0000 0.2498 0.2500 (multiplicity 4)
3 Tb 0.0000 0.4457 0.2500 (multiplicity 4)
4 Ce 0.0000 0.1488 0.7500 (multiplicity 4)
5 In 0.0000 0.3468 0.7500 (multiplicity 4)

Calculated values
size of the total moment = 5.4 μB/cell
crystal system = orthorhombic

***

The least stable of them is run w.

***

Run w
# Ce3InTc

Ce3InTc after structural relaxation (PBE, the Alexandria database).

Unit cell a=5.5880 b=6.5477 c=6.8998 alpha=82.02 beta=84.40 gamma=87.46
Space group P-1 (No. 2)
Symmetry-distinct sites (fractional):
1 Ce 0.1940 0.0657 0.2804 (multiplicity 2)
2 Ce 0.2425 0.5055 0.3539 (multiplicity 2)
3 Ce 0.2653 0.6389 0.9419 (multiplicity 2)
4 In 0.2795 0.1881 0.7857 (multiplicity 2)
5 Tc 0.3440 0.8327 0.5539 (multiplicity 2)

Calculated values
size of the total moment = 0.0 μB/cell
crystal system = triclinic

***

Run x
# Ce3InTc

Ce3InTc after structural relaxation (PBE, the Alexandria database).

Unit cell a=5.2880 b=5.2880 c=5.2880 alpha=90.00 beta=90.00 gamma=90.00
Space group Pm-3m (No. 221)
Symmetry-distinct sites (fractional):
1 Ce 0.0000 0.0000 0.5000 (multiplicity 3)
2 In 0.5000 0.5000 0.5000 (multiplicity 1)
3 Tc 0.0000 0.0000 0.0000 (multiplicity 1)

Calculated values
size of the total moment = 1.4 μB/cell
crystal system = cubic

***

The least stable of them is run x.

***

Run w
# CeInTc

CeInTc after structural relaxation (PBE, the Alexandria database).

Unit cell a=3.3354 b=3.3354 c=11.9125 alpha=90.00 beta=90.00 gamma=90.00
Space group I4mm (No. 107)
Symmetry-distinct sites (fractional):
1 Ce 0.0000 0.0000 0.0000 (multiplicity 2)
2 In 0.0000 0.0000 0.7229 (multiplicity 2)
3 Tc 0.0000 0.0000 0.3605 (multiplicity 2)

Calculated values
size of the total moment = 0.0 μB/cell
crystal system = tetragonal

***

Run x
# CeInTc

CeInTc after structural relaxation (PBE, the Alexandria database).

Unit cell a=5.0943 b=5.0138 c=5.5578 alpha=90.00 beta=97.77 gamma=90.00
Space group P2_1/m (No. 11)
Symmetry-distinct sites (fractional):
1 Ce 0.0815 0.2500 0.3076 (multiplicity 2)
2 In 0.4963 0.2500 0.8519 (multiplicity 2)
3 Tc 0.3576 0.7500 0.6169 (multiplicity 2)

Calculated values
size of the total moment = 0.0 μB/cell
crystal system = monoclinic

***

The least stable of them is run w.

***

Run w
# Ce4InTc

Ce4InTc after structural relaxation (PBE, the Alexandria database).

Unit cell a=6.2649 b=18.0949 c=4.8267 alpha=90.00 beta=90.00 gamma=90.00
Space group Cmcm (No. 63)
Symmetry-distinct sites (fractional):
1 Ce 0.2154 0.0434 0.2500 (multiplicity 8)
2 Ce 0.2174 0.2063 0.2500 (multiplicity 8)
3 In 0.0000 0.3776 0.2500 (multiplicity 4)
4 Tc 0.0000 0.1270 0.7500 (multiplicity 4)

Calculated values
size of the total moment = 0.0 μB/cell
crystal system = orthorhombic

***

Run x
# Ce4InTc

Ce4InTc after structural relaxation (PBE, the Alexandria database).

Unit cell a=8.3627 b=12.8826 c=5.9026 alpha=90.00 beta=106.47 gamma=90.00
Space group C2/c (No. 15)
Symmetry-distinct sites (fractional):
1 Ce 0.1108 0.1942 0.1174 (multiplicity 8)
2 Ce 0.2316 0.4070 0.3223 (multiplicity 8)
3 In 0.0000 0.3836 0.7500 (multiplicity 4)
4 Tc 0.0000 0.0181 0.7500 (multiplicity 4)

Calculated values
size of the total moment = 2.8 μB/cell
crystal system = monoclinic

***

The least stable of them is run w.

***

Run w
# CeTh4In

CeTh4In after structural relaxation (PBE, the Alexandria database).

Unit cell a=6.6344 b=11.3243 c=9.9869 alpha=90.00 beta=90.00 gamma=90.00
Space group Imma (No. 74)
Symmetry-distinct sites (fractional):
1 Ce 0.0000 0.0000 0.0000 (multiplicity 4)
2 Th 0.0000 0.0058 0.3281 (multiplicity 8)
3 Th 0.2503 0.2500 0.5770 (multiplicity 8)
4 In 0.2500 0.2500 0.2500 (multiplicity 4)

Calculated values
size of the total moment = 1.3 μB/cell
crystal system = orthorhombic

***

Run x
# CeTh4In

CeTh4In after structural relaxation (PBE, the Alexandria database).

Unit cell a=11.1525 b=4.7579 c=7.2414 alpha=90.00 beta=108.42 gamma=90.00
Space group C2/m (No. 12)
Symmetry-distinct sites (fractional):
1 Ce 0.0000 0.0000 0.0000 (multiplicity 2)
2 Th 0.1622 0.5000 0.8360 (multiplicity 4)
3 Th 0.1657 0.5000 0.3402 (multiplicity 4)
4 In 0.0000 0.0000 0.5000 (multiplicity 2)

Calculated values
size of the total moment = 0.0 μB/cell
crystal system = monoclinic

***

The least stable of them is run w.

***

Run w
# Ce4Th2In3

Ce4Th2In3 after structural relaxation (PBE, the Alexandria database).

Unit cell a=11.3243 b=5.3934 c=9.5179 alpha=90.00 beta=124.84 gamma=90.00
Space group C2/m (No. 12)
Symmetry-distinct sites (fractional):
1 Ce 0.1460 0.0000 0.1057 (multiplicity 4)
2 Ce 0.1795 0.0000 0.4441 (multiplicity 4)
3 Th 0.1620 0.0000 0.7738 (multiplicity 4)
4 In 0.0000 0.5000 0.5000 (multiplicity 2)
5 In 0.0048 0.5000 0.8340 (multiplicity 4)

Calculated values
size of the total moment = 2.0 μB/cell
crystal system = monoclinic

***

Run x
# Ce4Th2In3

Ce4Th2In3 after structural relaxation (PBE, the Alexandria database).

Unit cell a=14.8239 b=4.7386 c=7.6447 alpha=90.00 beta=110.60 gamma=90.00
Space group C2/m (No. 12)
Symmetry-distinct sites (fractional):
1 Ce 0.0659 0.0000 0.3520 (multiplicity 4)
2 Ce 0.2475 0.5000 0.3655 (multiplicity 4)
3 Th 0.1641 0.0000 0.0078 (multiplicity 4)
4 In 0.0000 0.5000 0.0000 (multiplicity 2)
5 In 0.1048 0.5000 0.6744 (multiplicity 4)

Calculated values
size of the total moment = 3.5 μB/cell
crystal system = monoclinic

***

The least stable of them is run w.

***

Run w
# Ce2Th2In

Ce2Th2In after structural relaxation (PBE, the Alexandria database).

Unit cell a=5.7528 b=5.7528 c=8.9616 alpha=90.00 beta=90.00 gamma=90.00
Space group I4/mmm (No. 139)
Symmetry-distinct sites (fractional):
1 Ce 0.0000 0.0000 0.1443 (multiplicity 4)
2 Th 0.0000 0.5000 0.2500 (multiplicity 4)
3 In 0.0000 0.0000 0.5000 (multiplicity 2)

Calculated values
size of the total moment = 0.2 μB/cell
crystal system = tetragonal

***

Run x
# Ce2Th2In

Ce2Th2In after structural relaxation (PBE, the Alexandria database).

Unit cell a=6.1246 b=6.6642 c=8.7587 alpha=111.08 beta=90.22 gamma=117.27
Space group P-1 (No. 2)
Symmetry-distinct sites (fractional):
1 Ce 0.0410 0.3066 0.0198 (multiplicity 2)
2 Ce 0.1399 0.0585 0.3140 (multiplicity 2)
3 Th 0.2642 0.6843 0.4436 (multiplicity 2)
4 Th 0.4134 0.0871 0.8487 (multiplicity 2)
5 In 0.3384 0.5015 0.7420 (multiplicity 2)

Calculated values
size of the total moment = 0.0 μB/cell
crystal system = triclinic

***

The least stable of them is run w.